[1]
The following is a PBE calculation of a geometry-optimized HfOsBr2 structure, from Alexandria via LeMat-Bulk.

Cell lengths 9.049, 9.049, 9.049 Å; angles 20.45, 20.45, 20.45 degrees
Positions (direct):
Os: 0.000 0.000 0.000
Br: 0.908 0.908 0.908
Br: 0.092 0.092 0.092
Hf: 0.500 0.500 0.500

E_form (uncorrected) ... 1.6 eV/f.u.
V ... 79.2 Å³/f.u.
Electronic total energy ... -22.9 eV for the cell shown
Offset from the most stable computed form ... 0 meV/atom
Space-group type ... R-3m

[2]
The following is a PBE calculation of a geometry-optimized RbTiBBr2 structure, from Alexandria via LeMat-Bulk.

Cell lengths 5.341, 5.354, 5.341 Å; angles 90.00, 90.00, 90.00 degrees
Positions (direct):
B: 0.000 0.000 0.000
Ti: 0.500 0.500 0.500
Br: 0.000 0.000 0.500
Br: 0.500 0.000 0.000
Rb: 0.000 0.500 0.000

E_form (uncorrected) ... 5.0 eV/f.u.
V ... 152.7 Å³/f.u.
Electronic total energy ... -13.8 eV for the cell shown
Offset from the most stable computed form ... 1262 meV/atom
Space-group type ... P4/mmm

[3]
The following is a PBE calculation of a geometry-optimized MgScAg4 structure, from Alexandria via LeMat-Bulk.

Cell lengths 4.959, 5.179, 5.179 Å; angles 57.24, 90.02, 89.98 degrees
Positions (direct):
Sc: 0.501 0.499 0.997
Ag: 0.501 0.163 0.661
Ag: 0.001 0.662 0.166
Ag: 0.001 0.329 0.833
Ag: 0.501 0.834 0.332
Mg: 0.001 0.996 0.499

ΔH_f (0 K) ... -0.21 eV/atom
V ... 111.9 Å³/f.u.
Electronic total energy ... -20.6 eV for the cell shown
Offset from the most stable computed form ... 0 meV/atom
Space-group type ... Amm2

[4]
The following is a PBE calculation of a geometry-optimized Hf2Mn2Si structure, from Alexandria via LeMat-Bulk.

Cell lengths 6.111, 6.111, 4.206 Å; angles 90.00, 90.00, 90.00 degrees
Positions (direct):
Mn: 0.881 0.619 0.000
Mn: 0.119 0.381 0.000
Mn: 0.619 0.119 0.000
Mn: 0.381 0.881 0.000
Hf: 0.183 0.683 0.500
Hf: 0.817 0.317 0.500
Hf: 0.317 0.183 0.500
Hf: 0.683 0.817 0.500
Si: 0.000 0.000 0.000
Si: 0.500 0.500 0.000

E_form (uncorrected) ... -1.4 eV/f.u.
V ... 78.5 Å³/f.u.
Electronic total energy ... -90.2 eV for the cell shown
Space-group type ... P4/mbm

[5]
The following is a PBE calculation of a geometry-optimized K2RbAu structure, from Alexandria via LeMat-Bulk.

Cell lengths 7.607, 10.757, 19.118 Å; angles 90.00, 90.00, 90.00 degrees
Positions (direct):
K: 0.221 0.061 0.956
K: 0.459 0.063 0.713
K: 0.721 0.561 0.544
K: 0.279 0.061 0.456
K: 0.779 0.561 0.044
K: 0.721 0.939 0.544
K: 0.779 0.939 0.044
K: 0.959 0.563 0.787
K: 0.041 0.063 0.213
K: 0.541 0.563 0.287
K: 0.279 0.439 0.456
K: 0.459 0.437 0.713
K: 0.541 0.937 0.287
K: 0.221 0.439 0.956
K: 0.959 0.937 0.787
K: 0.041 0.437 0.213
Au: 0.828 0.750 0.188
Au: 0.542 0.250 0.565
Au: 0.458 0.750 0.435
Au: 0.958 0.250 0.065
Au: 0.672 0.750 0.688
Au: 0.042 0.750 0.935
Au: 0.172 0.250 0.812
Au: 0.328 0.250 0.312
Rb: 0.271 0.750 0.105
Rb: 0.771 0.250 0.395
Rb: 0.229 0.750 0.605
Rb: 0.006 0.750 0.362
Rb: 0.494 0.750 0.862
Rb: 0.994 0.250 0.638
Rb: 0.506 0.250 0.138
Rb: 0.729 0.250 0.895

ΔH_f (0 K) ... -0.17 eV/atom
V ... 195.6 Å³/f.u.
Electronic total energy ... -56.8 eV for the cell shown
Offset from the most stable computed form ... 3 meV/atom
Space-group type ... Pnma

[6]
The following is a PBE calculation of a geometry-optimized KNdSeCl structure, from Alexandria via LeMat-Bulk.

Cell lengths 4.157, 4.157, 8.303 Å; angles 90.01, 104.50, 120.00 degrees
Positions (direct):
K: 0.481 0.138 0.634
Cl: 0.950 0.373 0.338
Nd: 0.127 0.962 0.104
Se: 0.320 0.558 0.893

E_form (uncorrected) ... -6.5 eV/f.u.
V ... 119.0 Å³/f.u.
Electronic total energy ... -17.7 eV for the cell shown
Space-group type ... R3m

[7]
The following is a PBE calculation of a geometry-optimized Sb2TeSe6 structure, from Alexandria via LeMat-Bulk.

Cell lengths 3.919, 7.821, 8.795 Å; angles 102.97, 102.87, 90.00 degrees
Positions (direct):
Se: 0.670 0.076 0.339
Se: 0.665 0.590 0.329
Se: 0.330 0.924 0.661
Se: 0.998 0.259 0.996
Se: 0.335 0.410 0.671
Se: 0.002 0.741 0.004
Sb: 0.167 0.334 0.335
Sb: 0.833 0.666 0.665
Te: 0.500 0.000 0.000

E_form (uncorrected) ... -1.0 eV/f.u.
V ... 255.8 Å³/f.u.
Electronic total energy ... -33.2 eV for the cell shown
Space-group type ... C2/m

[8]
The following is a PBE calculation of a geometry-optimized LaGe3I structure, from Alexandria via LeMat-Bulk.

Cell lengths 5.395, 5.395, 5.395 Å; angles 90.00, 90.00, 90.00 degrees
Positions (direct):
Ge: 0.000 0.000 0.500
Ge: 0.000 0.500 0.000
Ge: 0.500 0.000 0.000
La: 0.500 0.500 0.500
I: 0.000 0.000 0.000

E_form (uncorrected) ... 3.0 eV/f.u.
V ... 157.0 Å³/f.u.
Electronic total energy ... -17.3 eV for the cell shown
Offset from the most stable computed form ... 0 meV/atom
Space-group type ... Pm-3m

> Among the records above, which one has the lowest V?

Hf2Mn2Si